Arrangement A

DFT (PBE-GGA) results for an optimized crystal structure of Ac2EuGd.

N(E_F) in states/eV per atom: 1.953
Crystal system: trigonal

Cell lengths 3.7864, 3.7864, 13.6257 Å; angles 82.01, 82.01, 60.00 degrees
With the nearest neighbours (Å) after each atom.
Positions (direct):
Ac 0.9142 0.9142 0.2573  1 Gd 3.46, 6 Ac 3.79
Ac 0.0858 0.0858 0.7427  1 Gd 3.46, 6 Ac 3.79
Eu 0.5000 0.5000 0.5000  6 Eu 3.79, 6 Ac 3.93
Gd 0.0000 0.0000 0.0000  2 Ac 3.46, 6 Gd 3.79


Arrangement B

DFT (PBE-GGA) results for an optimized crystal structure of Ac2EuGd.

N(E_F) in states/eV per atom: 2.196
Crystal system: cubic

Cell lengths 6.1336, 6.1336, 6.1336 Å; angles 60.00, 60.00, 60.00 degrees
With the nearest neighbours (Å) after each atom.
Positions (direct):
Eu 0.0000 0.0000 0.0000  8 Ac 3.76
Gd 0.5000 0.5000 0.5000  8 Ac 3.76
Ac 0.7500 0.7500 0.7500  4 Gd 3.76, 4 Eu 3.76
Ac 0.2500 0.2500 0.2500  4 Gd 3.76, 4 Eu 3.76


Arrangement C

DFT (PBE-GGA) results for an optimized crystal structure of Ac2EuGd.

N(E_F) in states/eV per atom: 1.591
Crystal system: tetragonal

Cell lengths 4.1643, 6.2583, 6.2583 Å; angles 90.00, 90.00, 90.00 degrees
With the nearest neighbours (Å) after each atom.
Positions (direct):
Ac 0.0000 0.0000 0.5000  4 Gd 3.76, 4 Eu 3.76, 2 Ac 4.16
Ac 0.0000 0.5000 0.0000  4 Gd 3.76, 4 Eu 3.76, 2 Ac 4.16
Eu 0.5000 0.5000 0.5000  8 Ac 3.76, 2 Eu 4.16
Gd 0.5000 0.0000 0.0000  8 Ac 3.76, 2 Gd 4.16


Referenced to the most stable arrangement, the calculated values in kJ/mol of atoms are arrangement A 14.0; arrangement B 1.5; arrangement C 0.0.


Arrangement A

DFT (PBE-GGA) results for an optimized crystal structure of AcEu2Gd.

N(E_F) in states/eV per atom: 1.185
Crystal system: cubic

Cell lengths 6.0730, 6.0730, 6.0730 Å; angles 60.00, 60.00, 60.00 degrees
With the nearest neighbours (Å) after each atom.
Positions (direct):
Eu 0.7500 0.7500 0.7500  4 Gd 3.72, 4 Ac 3.72
Eu 0.2500 0.2500 0.2500  4 Gd 3.72, 4 Ac 3.72
Ac 0.5000 0.5000 0.5000  8 Eu 3.72
Gd 0.0000 0.0000 0.0000  8 Eu 3.72


Arrangement B

DFT (PBE-GGA) results for an optimized crystal structure of AcEu2Gd.

N(E_F) in states/eV per atom: 1.384
Crystal system: tetragonal

Cell lengths 4.2519, 6.1030, 6.1030 Å; angles 90.00, 90.00, 90.00 degrees
With the nearest neighbours (Å) after each atom.
Positions (direct):
Eu 0.0000 0.5000 0.0000  4 Gd 3.72, 4 Ac 3.72
Eu 0.0000 0.0000 0.5000  4 Gd 3.72, 4 Ac 3.72
Gd 0.5000 0.5000 0.5000  8 Eu 3.72
Ac 0.5000 0.0000 0.0000  8 Eu 3.72


Referenced to the most stable arrangement, the calculated values in kJ/mol of atoms are arrangement A 0.0; arrangement B 0.6.


Arrangement A

DFT (PBE-GGA) results for an optimized crystal structure of AcEu2Ge.

N(E_F) in states/eV per atom: 0.871
Crystal system: tetragonal

Cell lengths 3.8075, 3.8075, 9.5595 Å; angles 90.00, 90.00, 90.00 degrees
With the nearest neighbours (Å) after each atom.
Positions (direct):
Ge 0.5000 0.5000 0.0000  8 Eu 3.19
Eu 0.0000 0.0000 0.1789  4 Ge 3.19, 1 Eu 3.42
Eu 0.0000 0.0000 0.8211  4 Ge 3.19, 1 Eu 3.42
Ac 0.5000 0.5000 0.5000  4 Ac 3.81, 8 Eu 4.08


Arrangement B

DFT (PBE-GGA) results for an optimized crystal structure of AcEu2Ge.

N(E_F) in states/eV per atom: 0.906
Crystal system: trigonal

Cell lengths 3.9203, 3.9203, 11.2370 Å; angles 79.95, 79.95, 60.00 degrees
With the nearest neighbours (Å) after each atom.
Positions (direct):
Ge 0.0000 0.0000 0.0000  6 Eu 3.08
Eu 0.7301 0.7301 0.8096  3 Ge 3.08
Eu 0.2699 0.2699 0.1904  3 Ge 3.08
Ac 0.5000 0.5000 0.5000  6 Ac 3.92, 6 Eu 4.09


Referenced to the most stable arrangement, the calculated values in kJ/mol of atoms are arrangement A 0.0; arrangement B 9.7.


Arrangement A

DFT (PBE-GGA) results for an optimized crystal structure of AcEu2Ge.

N(E_F) in states/eV per atom: 0.998
Crystal system: cubic

Cell lengths 5.6153, 5.6153, 5.6153 Å; angles 60.00, 60.00, 60.00 degrees
With the nearest neighbours (Å) after each atom.
Positions (direct):
Ac 0.0000 0.0000 0.0000  8 Eu 3.44
Eu 0.2500 0.2500 0.2500  4 Ac 3.44, 4 Ge 3.44
Eu 0.7500 0.7500 0.7500  4 Ge 3.44, 4 Ac 3.44
Ge 0.5000 0.5000 0.5000  8 Eu 3.44


Arrangement B

DFT (PBE-GGA) results for an optimized crystal structure of AcEu2Ge.

N(E_F) in states/eV per atom: 0.954
Crystal system: tetragonal

Cell lengths 5.2576, 4.9323, 4.9323 Å; angles 90.00, 90.00, 90.00 degrees
With the nearest neighbours (Å) after each atom.
Positions (direct):
Eu 0.0000 0.5000 0.0000  4 Eu 3.49, 4 Ac 3.60, 4 Ge 3.60
Eu 0.0000 0.0000 0.5000  4 Eu 3.49, 4 Ge 3.60, 4 Ac 3.60
Ge 0.5000 0.5000 0.5000  4 Ac 3.49, 8 Eu 3.60
Ac 0.5000 0.0000 0.0000  4 Ge 3.49, 8 Eu 3.60


Referenced to the most stable arrangement, the calculated values in kJ/mol of atoms are arrangement A 21.4; arrangement B 0.0.


Arrangement A

DFT (PBE-GGA) results for an optimized crystal structure of Ac2EuHo.

N(E_F) in states/eV per atom: 1.366
Crystal system: tetragonal

Cell lengths 3.9258, 3.9258, 10.5039 Å; angles 90.00, 90.00, 90.00 degrees
With the nearest neighbours (Å) after each atom.
Positions (direct):
Ho 0.5000 0.5000 0.0000  8 Ac 3.71, 4 Ho 3.93
Eu 0.5000 0.5000 0.5000  4 Eu 3.93, 8 Ac 3.93
Ac 0.0000 0.0000 0.2345  4 Ho 3.71, 4 Ac 3.93, 4 Eu 3.93
Ac 0.0000 0.0000 0.7655  4 Ho 3.71, 4 Ac 3.93, 4 Eu 3.93


Arrangement B

DFT (PBE-GGA) results for an optimized crystal structure of Ac2EuHo.

N(E_F) in states/eV per atom: 1.402
Crystal system: cubic

Cell lengths 6.1050, 6.1050, 6.1050 Å; angles 60.00, 60.00, 60.00 degrees
With the nearest neighbours (Å) after each atom.
Positions (direct):
Ac 0.7500 0.7500 0.7500  4 Eu 3.74, 4 Ho 3.74
Ac 0.2500 0.2500 0.2500  4 Ho 3.74, 4 Eu 3.74
Eu 0.0000 0.0000 0.0000  8 Ac 3.74
Ho 0.5000 0.5000 0.5000  8 Ac 3.74


Referenced to the most stable arrangement, the calculated values in kJ/mol of atoms are arrangement A 0.0; arrangement B 5.0.


Arrangement A

DFT (PBE-GGA) results for an optimized crystal structure of AcEu2Ho.

N(E_F) in states/eV per atom: 1.055
Crystal system: tetragonal

Cell lengths 3.8084, 3.8084, 10.7780 Å; angles 90.00, 90.00, 90.00 degrees
With the nearest neighbours (Å) after each atom.
Positions (direct):
Eu 0.0000 0.0000 0.7656  4 Ho 3.69, 4 Eu 3.81, 4 Ac 3.93
Eu 0.0000 0.0000 0.2344  4 Ho 3.69, 4 Eu 3.81, 4 Ac 3.93
Ho 0.5000 0.5000 0.0000  8 Eu 3.69, 4 Ho 3.81
Ac 0.5000 0.5000 0.5000  4 Ac 3.81, 8 Eu 3.93


Arrangement B

DFT (PBE-GGA) results for an optimized crystal structure of AcEu2Ho.

N(E_F) in states/eV per atom: 1.364
Crystal system: trigonal

Cell lengths 3.7117, 3.7117, 13.4881 Å; angles 82.09, 82.09, 60.00 degrees
With the nearest neighbours (Å) after each atom.
Positions (direct):
Ho 0.0000 0.0000 0.0000  2 Eu 3.38, 6 Ho 3.71
Eu 0.0845 0.0845 0.7465  1 Ho 3.38, 6 Eu 3.71
Eu 0.9155 0.9155 0.2535  1 Ho 3.38, 6 Eu 3.71
Ac 0.5000 0.5000 0.5000  6 Ac 3.71, 6 Eu 3.92


Referenced to the most stable arrangement, the calculated values in kJ/mol of atoms are arrangement A 0.0; arrangement B 14.4.


Arrangement A

DFT (PBE-GGA) results for an optimized crystal structure of AcEu2Ho.

N(E_F) in states/eV per atom: 1.177
Crystal system: cubic

Cell lengths 6.0507, 6.0507, 6.0507 Å; angles 60.00, 60.00, 60.00 degrees
With the nearest neighbours (Å) after each atom.
Positions (direct):
Eu 0.7500 0.7500 0.7500  4 Ac 3.71, 4 Ho 3.71
Eu 0.2500 0.2500 0.2500  4 Ho 3.71, 4 Ac 3.71
Ac 0.5000 0.5000 0.5000  8 Eu 3.71
Ho 0.0000 0.0000 0.0000  8 Eu 3.71


Arrangement B

DFT (PBE-GGA) results for an optimized crystal structure of AcEu2Ho.

N(E_F) in states/eV per atom: 1.312
Crystal system: tetragonal

Cell lengths 4.2816, 6.0418, 6.0418 Å; angles 90.00, 90.00, 90.00 degrees
With the nearest neighbours (Å) after each atom.
Positions (direct):
Eu 0.0000 0.0000 0.5000  4 Ac 3.70, 4 Ho 3.70
Eu 0.0000 0.5000 0.0000  4 Ac 3.70, 4 Ho 3.70
Ho 0.5000 0.5000 0.5000  8 Eu 3.70
Ac 0.5000 0.0000 0.0000  8 Eu 3.70


Referenced to the most stable arrangement, the calculated values in kJ/mol of atoms are arrangement A 0.0; arrangement B 0.8.


Arrangement A

DFT (PBE-GGA) results for an optimized crystal structure of AcEuI2.

N(E_F) in states/eV per atom: 0.482
Crystal system: trigonal

Cell lengths 4.1628, 4.1628, 11.7716 Å; angles 79.82, 79.82, 60.00 degrees
With the nearest neighbours (Å) after each atom.
Positions (direct):
Eu 0.0000 0.0000 0.0000  2 I 3.30
I 0.0954 0.0954 0.7137  1 Eu 3.30, 3 Ac 3.44
I 0.9046 0.9046 0.2863  1 Eu 3.30, 3 Ac 3.44
Ac 0.5000 0.5000 0.5000  6 I 3.44


Arrangement B

DFT (PBE-GGA) results for an optimized crystal structure of AcEuI2.

N(E_F) in states/eV per atom: 0.353
Crystal system: tetragonal

Cell lengths 4.0857, 4.0857, 8.1763 Å; angles 90.00, 90.00, 90.00 degrees
With the nearest neighbours (Å) after each atom.
Positions (direct):
I 0.0000 0.0000 0.2475  4 Ac 3.53, 4 Eu 3.55
I 0.0000 0.0000 0.7525  4 Ac 3.53, 4 Eu 3.55
Eu 0.5000 0.5000 0.5000  8 I 3.55
Ac 0.5000 0.5000 0.0000  8 I 3.53


Referenced to the most stable arrangement, the calculated values in kJ/mol of atoms are arrangement A 0.0; arrangement B 3.9.